Entry 1:
Entry from the Alexandria database: crystalline Rb3Sn2Bi2 at its relaxed geometry (PBE).

Unit cell a=7.127 b=10.718 c=16.092 alpha=90.00 beta=90.00 gamma=90.00
Sites, in units of the cell vectors:
Rb  0.115  0.634  0.108
Rb  0.885  0.366  0.608
Rb  0.885  0.134  0.392
Rb  0.115  0.866  0.892
Rb  0.885  0.366  0.892
Rb  0.115  0.634  0.392
Rb  0.115  0.866  0.608
Rb  0.885  0.134  0.108
Rb  0.337  0.272  0.250
Rb  0.663  0.728  0.750
Rb  0.663  0.772  0.250
Rb  0.337  0.228  0.750
Sn  0.620  0.465  0.079
Sn  0.380  0.535  0.579
Sn  0.380  0.965  0.421
Sn  0.620  0.035  0.921
Sn  0.380  0.535  0.921
Sn  0.620  0.465  0.421
Sn  0.620  0.035  0.579
Sn  0.380  0.965  0.079
Bi  0.381  0.250  0.000
Bi  0.619  0.750  0.500
Bi  0.619  0.750  0.000
Bi  0.381  0.250  0.500
Bi  0.804  0.429  0.250
Bi  0.196  0.571  0.750
Bi  0.196  0.929  0.250
Bi  0.804  0.071  0.750

Computed properties:
Formation energy (eV per atom): -0.22
Density of states at the Fermi level (states/eV/atom): 0.50
E (eV for the cell shown): -80.910
Crystal system: orthorhombic


Entry 2:
Entry from the Alexandria database: crystalline Rb3Sn9Bi2 at its relaxed geometry (PBE).

Unit cell a=5.439 b=9.948 c=9.948 alpha=69.71 beta=74.14 gamma=74.14
Sites, in units of the cell vectors:
Rb  0.000  0.000  0.000
Rb  0.698  0.302  0.302
Rb  0.302  0.698  0.698
Sn  0.000  0.500  0.500
Sn  0.664  0.973  0.698
Sn  0.336  0.027  0.302
Sn  0.664  0.698  0.973
Sn  0.336  0.302  0.027
Sn  0.856  0.872  0.416
Sn  0.144  0.128  0.584
Sn  0.856  0.416  0.872
Sn  0.144  0.584  0.128
Bi  0.500  0.300  0.700
Bi  0.500  0.700  0.300

Computed properties:
Formation energy (eV per atom): -0.10
Density of states at the Fermi level (states/eV/atom): 0.46
E (eV for the cell shown): -48.066
Crystal system: orthorhombic


Entry 3:
Entry from the Alexandria database: crystalline RbSn3Bi2 at its relaxed geometry (PBE).

Unit cell a=5.773 b=9.699 c=9.391 alpha=120.28 beta=90.00 gamma=107.31
Sites, in units of the cell vectors:
Rb  0.865  0.730  0.918
Rb  0.135  0.270  0.082
Sn  0.275  0.549  0.560
Sn  0.953  0.905  0.597
Sn  0.597  0.194  0.655
Sn  0.403  0.806  0.345
Sn  0.047  0.095  0.403
Sn  0.725  0.451  0.440
Bi  0.473  0.946  0.800
Bi  0.527  0.054  0.200
Bi  0.803  0.606  0.229
Bi  0.197  0.394  0.771

Computed properties:
Formation energy (eV per atom): -0.08
Density of states at the Fermi level (states/eV/atom): 0.48
E (eV for the cell shown): -42.427
Crystal system: monoclinic


Entry 4:
Entry from the Alexandria database: crystalline Rb3Sn8Bi3 at its relaxed geometry (PBE).

Unit cell a=5.055 b=10.389 c=10.389 alpha=69.54 beta=75.92 gamma=75.92
Sites, in units of the cell vectors:
Rb  0.500  0.500  0.500
Rb  0.806  0.194  0.194
Rb  0.194  0.806  0.806
Sn  0.661  0.060  0.618
Sn  0.339  0.940  0.382
Sn  0.661  0.618  0.060
Sn  0.339  0.382  0.940
Sn  0.848  0.788  0.516
Sn  0.152  0.212  0.484
Sn  0.848  0.516  0.788
Sn  0.152  0.484  0.212
Bi  0.500  0.000  0.000
Bi  0.000  0.798  0.202
Bi  0.000  0.202  0.798

Computed properties:
Formation energy (eV per atom): -0.10
Density of states at the Fermi level (states/eV/atom): 0.44
E (eV for the cell shown): -47.995
Crystal system: orthorhombic


Entry 5:
Entry from the Alexandria database: crystalline Rb2Sn6Bi at its relaxed geometry (PBE).

Unit cell a=7.078 b=7.039 c=7.045 alpha=119.97 beta=89.99 gamma=90.00
Sites, in units of the cell vectors:
Rb  0.872  0.666  0.333
Rb  0.128  0.334  0.667
Sn  0.353  0.361  0.181
Sn  0.352  0.819  0.638
Sn  0.353  0.820  0.181
Sn  0.647  0.639  0.819
Sn  0.648  0.181  0.362
Sn  0.647  0.180  0.819
Bi  0.000  0.000  0.000

Computed properties:
Formation energy (eV per atom): -0.14
Density of states at the Fermi level (states/eV/atom): 0.39
E (eV for the cell shown): -31.122
Crystal system: monoclinic


Entry 6:
Entry from the Alexandria database: crystalline Rb2SnBi2 at its relaxed geometry (PBE).

Unit cell a=6.563 b=6.581 c=10.408 alpha=108.43 beta=90.00 gamma=90.00
Sites, in units of the cell vectors:
Rb  0.750  0.437  0.875
Rb  0.750  0.802  0.605
Rb  0.250  0.563  0.125
Rb  0.250  0.198  0.395
Sn  0.000  0.000  0.000
Sn  0.500  0.000  0.000
Bi  0.750  0.379  0.239
Bi  0.250  0.140  0.761
Bi  0.250  0.621  0.761
Bi  0.750  0.860  0.239

Computed properties:
Formation energy (eV per atom): -0.24
Density of states at the Fermi level (states/eV/atom): 0.86
E (eV for the cell shown): -29.820
Energy relative to the lowest polymorph listed for this composition (meV/atom): 0
Crystal system: orthorhombic


Entry 7:
Entry from the Alexandria database: crystalline RbSn4Bi at its relaxed geometry (PBE).

Unit cell a=6.443 b=6.443 c=6.443 alpha=60.00 beta=60.00 gamma=60.00
Sites, in units of the cell vectors:
Bi  0.000  0.000  0.000
Rb  0.250  0.250  0.250
Sn  0.626  0.626  0.122
Sn  0.626  0.122  0.626
Sn  0.626  0.626  0.626
Sn  0.122  0.626  0.626

Computed properties:
Formation energy (eV per atom): 0.02
Density of states at the Fermi level (states/eV/atom): 0.40
E (eV for the cell shown): -20.714
Crystal system: cubic


Entry 8:
Entry from the Alexandria database: crystalline RbSnBi2 at its relaxed geometry (PBE).

Unit cell a=4.266 b=4.266 c=10.059 alpha=77.76 beta=77.76 gamma=60.00
Sites, in units of the cell vectors:
Rb  0.501  0.501  0.498
Sn  0.667  0.667  0.000
Bi  0.064  0.064  0.807
Bi  0.268  0.268  0.195

Computed properties:
Formation energy (eV per atom): -0.01
Density of states at the Fermi level (states/eV/atom): 0.93
E (eV for the cell shown): -12.773
Crystal system: trigonal


Entry 9:
Entry from the Alexandria database: crystalline Rb3SnBi2 at its relaxed geometry (PBE).

Unit cell a=5.859 b=10.315 c=12.998 alpha=51.39 beta=76.98 gamma=73.50
Sites, in units of the cell vectors:
Rb  0.063  0.065  0.810
Rb  0.937  0.935  0.190
Rb  0.680  0.689  0.951
Rb  0.320  0.311  0.049
Rb  0.810  0.825  0.555
Rb  0.190  0.175  0.445
Sn  0.432  0.444  0.691
Sn  0.568  0.556  0.309
Bi  0.884  0.402  0.830
Bi  0.116  0.598  0.170
Bi  0.591  0.226  0.591
Bi  0.409  0.774  0.409

Computed properties:
Formation energy (eV per atom): -0.22
Density of states at the Fermi level (states/eV/atom): 0.04
E (eV for the cell shown): -31.976
Energy relative to the lowest polymorph listed for this composition (meV/atom): 67
Crystal system: monoclinic


Entry 10:
Entry from the Alexandria database: crystalline Rb3Sn4Bi4 at its relaxed geometry (PBE).

Unit cell a=5.515 b=5.590 c=15.331 alpha=100.50 beta=100.36 gamma=90.00
Sites, in units of the cell vectors:
Rb  0.357  0.857  0.713
Rb  0.643  0.143  0.287
Rb  0.000  0.000  0.000
Sn  0.801  0.301  0.602
Sn  0.452  0.452  0.904
Sn  0.548  0.548  0.096
Sn  0.199  0.699  0.398
Bi  0.250  0.250  0.500
Bi  0.094  0.594  0.187
Bi  0.906  0.406  0.813
Bi  0.750  0.750  0.500

Computed properties:
Formation energy (eV per atom): -0.15
Density of states at the Fermi level (states/eV/atom): 0.50
E (eV for the cell shown): -36.142
Energy relative to the lowest polymorph listed for this composition (meV/atom): 7
Crystal system: orthorhombic


Entry 11:
Entry from the Alexandria database: crystalline RbSnBi2 at its relaxed geometry (PBE).

Unit cell a=9.119 b=9.119 c=7.508 alpha=52.61 beta=52.61 gamma=90.00
Sites, in units of the cell vectors:
Bi  0.691  0.125  0.250
Bi  0.059  0.625  0.250
Bi  0.375  0.309  0.750
Bi  0.875  0.941  0.750
Rb  0.500  0.500  0.000
Rb  0.250  0.750  0.500
Sn  0.000  0.000  0.000
Sn  0.750  0.250  0.500

Computed properties:
Formation energy (eV per atom): -0.05
Density of states at the Fermi level (states/eV/atom): 1.03
E (eV for the cell shown): -25.865
Crystal system: tetragonal


Entry 12:
Entry from the Alexandria database: crystalline Rb3Sn4Bi4 at its relaxed geometry (PBE).

Unit cell a=5.712 b=8.366 c=10.109 alpha=114.44 beta=106.41 gamma=90.00
Sites, in units of the cell vectors:
Rb  0.122  0.122  0.244
Rb  0.878  0.878  0.756
Rb  0.000  0.500  0.000
Sn  0.331  0.146  0.663
Sn  0.669  0.483  0.337
Sn  0.669  0.854  0.337
Sn  0.331  0.517  0.663
Bi  0.218  0.718  0.436
Bi  0.782  0.282  0.564
Bi  0.500  0.811  0.000
Bi  0.500  0.189  0.000

Computed properties:
Formation energy (eV per atom): -0.16
Density of states at the Fermi level (states/eV/atom): 0.46
E (eV for the cell shown): -36.217
Energy relative to the lowest polymorph listed for this composition (meV/atom): 0
Crystal system: orthorhombic